{
  "formula": "CsHoAgTe3",
  "functional": "PBE",
  "state": "optimized geometry",
  "energy_ev_per_atom": -3.874,
  "space_group": "No. 63",
  "lattice_angstrom": [[2.1480, -8.8062, 0.0000], [2.1480, 8.8062, 0.0000], [0.0000, 0.0000, 11.4145]],
  "species": ["Cs", "Cs", "Te", "Te", "Te", "Te", "Te", "Te", "Ho", "Ho", "Ag", "Ag"],
  "fractional_positions": [[0.7515, 0.2485, 0.7500], [0.2485, 0.7515, 0.2500], [0.9316, 0.0684, 0.2500], [0.3782, 0.6218, 0.5446], [0.6218, 0.3782, 0.0446], [0.6218, 0.3782, 0.4554], [0.3782, 0.6218, 0.9554], [0.0684, 0.9316, 0.7500], [0.0000, 0.0000, 0.0000], [0.0000, 0.0000, 0.5000], [0.4636, 0.5364, 0.7500], [0.5364, 0.4636, 0.2500]]
}